[1]
{
  "formula": "Li2MoO6",
  "functional": "GGA+U",
  "state": "relaxed",
  "dos_ef_per_ev_atom": 0.6026,
  "e_tot_ev_per_atom": -5.403,
  "lattice_angstrom": [[4.782, 0.000, 0.000], [0.000, 4.782, 0.000], [0.000, 0.000, 9.212]],
  "species": ["Li", "Li", "Li", "Li", "Mo", "Mo", "O", "O", "O", "O", "O", "O", "O", "O", "O", "O", "O", "O"],
  "frac_coords": [[0.000, 0.000, 0.337], [0.500, 0.500, 0.837], [0.500, 0.500, 0.163], [0.000, 0.000, 0.663], [0.000, 0.000, 0.000], [0.500, 0.500, 0.500], [0.300, 0.300, 0.348], [0.700, 0.700, 0.348], [0.200, 0.800, 0.848], [0.800, 0.200, 0.848], [0.200, 0.800, 0.152], [0.800, 0.200, 0.152], [0.300, 0.300, 0.652], [0.700, 0.700, 0.652], [0.282, 0.282, 0.000], [0.718, 0.718, 0.000], [0.218, 0.782, 0.500], [0.782, 0.218, 0.500]]
}

=====

[2]
{
  "formula": "LiMoO6",
  "functional": "GGA+U",
  "state": "relaxed",
  "dos_ef_per_ev_atom": 0.9037,
  "e_tot_ev_per_atom": -5.240,
  "lattice_angstrom": [[5.585, 0.000, 0.000], [2.793, 4.837, 0.000], [2.793, 1.612, 4.560]],
  "species": ["Li", "Mo", "O", "O", "O", "O", "O", "O"],
  "frac_coords": [[0.500, 0.500, 0.500], [0.000, 0.000, 0.000], [0.756, 0.756, 0.244], [0.756, 0.244, 0.244], [0.244, 0.756, 0.756], [0.244, 0.244, 0.756], [0.244, 0.756, 0.244], [0.756, 0.244, 0.756]]
}

=====

[3]
{
  "formula": "Li2Mo3O9",
  "functional": "GGA+U",
  "state": "relaxed",
  "e_tot_ev_per_atom": -6.568,
  "lattice_angstrom": [[8.503, 0.000, 0.000], [-4.252, 7.364, 0.000], [0.000, 0.000, 9.993]],
  "species": ["Li", "Li", "Li", "Li", "Mo", "Mo", "Mo", "Mo", "Mo", "Mo", "O", "O", "O", "O", "O", "O", "O", "O", "O", "O", "O", "O", "O", "O", "O", "O", "O", "O"],
  "frac_coords": [[0.667, 0.333, 0.445], [0.667, 0.333, 0.055], [0.333, 0.667, 0.945], [0.333, 0.667, 0.555], [0.850, 0.714, 0.250], [0.286, 0.136, 0.250], [0.864, 0.150, 0.250], [0.136, 0.850, 0.750], [0.714, 0.864, 0.750], [0.150, 0.286, 0.750], [0.882, 0.776, 0.750], [0.783, 0.586, 0.399], [0.783, 0.586, 0.101], [0.224, 0.107, 0.750], [0.803, 0.217, 0.101], [0.803, 0.217, 0.399], [0.414, 0.197, 0.101], [0.414, 0.197, 0.399], [0.107, 0.882, 0.250], [0.893, 0.118, 0.750], [0.586, 0.803, 0.899], [0.586, 0.803, 0.601], [0.197, 0.783, 0.601], [0.197, 0.783, 0.899], [0.776, 0.893, 0.250], [0.217, 0.414, 0.601], [0.217, 0.414, 0.899], [0.118, 0.224, 0.250]]
}

=====

[4]
{
  "formula": "LiMoO3",
  "functional": "GGA+U",
  "state": "relaxed",
  "dos_ef_per_ev_atom": 0.4512,
  "e_tot_ev_per_atom": -5.225,
  "lattice_angstrom": [[3.496, 0.000, 0.000], [0.000, 3.496, 0.000], [0.000, 0.000, 3.496]],
  "species": ["Mo", "O", "O", "O", "Li"],
  "frac_coords": [[0.500, 0.500, 0.500], [0.000, 0.500, 0.000], [0.000, 0.000, 0.500], [0.500, 0.000, 0.000], [0.000, 0.000, 0.000]]
}

=====

[5]
{
  "formula": "Li2MoO",
  "functional": "GGA+U",
  "state": "relaxed",
  "dos_ef_per_ev_atom": 0.1426,
  "e_tot_ev_per_atom": -4.433,
  "lattice_angstrom": [[-0.750, 2.594, -6.933], [5.011, -4.951, -2.394], [0.530, -2.621, -5.030]],
  "species": ["Mo", "Mo", "O", "O", "Li", "Li", "Li", "Li"],
  "frac_coords": [[0.000, 0.000, 0.000], [0.750, 0.250, 0.500], [0.500, 0.500, 0.000], [0.250, 0.750, 0.500], [0.267, 0.125, 0.250], [0.483, 0.625, 0.250], [0.375, 0.733, 0.750], [0.875, 0.517, 0.750]]
}

=====

[6]
{
  "formula": "Li6Mo2O7",
  "functional": "GGA+U",
  "state": "relaxed",
  "e_tot_ev_per_atom": -5.872,
  "lattice_angstrom": [[-1.651, 5.534, 1.614], [-4.195, 0.075, -4.550], [-5.793, -3.271, 5.288]],
  "species": ["Li", "Li", "Li", "Li", "Li", "Li", "Li", "Li", "Li", "Li", "Li", "Li", "Mo", "Mo", "Mo", "Mo", "O", "O", "O", "O", "O", "O", "O", "O", "O", "O", "O", "O", "O", "O"],
  "frac_coords": [[0.061, 0.750, 0.774], [0.239, 0.000, 0.000], [0.510, 0.750, 0.732], [0.510, 0.250, 0.268], [0.703, 0.500, 0.500], [0.703, 0.000, 0.500], [0.061, 0.250, 0.226], [0.998, 0.250, 0.769], [0.297, 0.500, 0.500], [0.297, 0.000, 0.500], [0.239, 0.500, 0.000], [0.998, 0.750, 0.231], [0.751, 0.000, 0.000], [0.477, 0.250, 0.738], [0.477, 0.750, 0.262], [0.751, 0.500, 0.000], [0.731, 0.978, 0.257], [0.258, 0.984, 0.266], [0.258, 0.016, 0.734], [0.258, 0.484, 0.734], [0.499, 0.250, 0.506], [0.492, 0.250, 0.987], [0.492, 0.750, 0.013], [0.731, 0.478, 0.743], [0.731, 0.522, 0.257], [0.731, 0.022, 0.743], [0.995, 0.750, 0.997], [0.995, 0.250, 0.003], [0.258, 0.516, 0.266], [0.499, 0.750, 0.494]]
}

=====

[7]
{
  "formula": "Li5MoO6",
  "functional": "GGA+U",
  "state": "relaxed",
  "dos_ef_per_ev_atom": 0.6390,
  "e_tot_ev_per_atom": -5.676,
  "lattice_angstrom": [[5.097, 0.173, 0.000], [1.599, 4.892, 0.000], [0.800, 2.446, 4.444]],
  "species": ["Li", "Li", "Li", "Li", "Li", "Mo", "O", "O", "O", "O", "O", "O"],
  "frac_coords": [[0.500, 0.180, 0.640], [0.000, 0.333, 0.335], [0.500, 0.500, 0.000], [0.000, 0.667, 0.665], [0.500, 0.820, 0.360], [0.000, 0.000, 0.000], [0.763, 0.078, 0.310], [0.237, 0.612, 0.310], [0.230, 0.232, 0.000], [0.770, 0.768, 0.000], [0.763, 0.388, 0.690], [0.237, 0.922, 0.690]]
}

=====

[8]
{
  "formula": "LiMo3O",
  "functional": "GGA+U",
  "state": "relaxed",
  "dos_ef_per_ev_atom": 0.6275,
  "polymorph_energy_ev_per_atom": 1.5246,
  "lattice_angstrom": [[-2.256, 4.062, -0.147], [-1.320, -0.574, 4.420], [3.844, 2.186, 1.432]],
  "species": ["Mo", "Mo", "Mo", "O", "Li"],
  "frac_coords": [[0.000, 0.500, 0.000], [0.000, 0.000, 0.500], [0.500, 0.000, 0.000], [0.500, 0.500, 0.500], [0.000, 0.000, 0.000]]
}

=====

[9]
{
  "formula": "Li2MoO3",
  "functional": "GGA+U",
  "state": "relaxed",
  "polymorph_energy_ev_per_atom": 0.0405,
  "lattice_angstrom": [[4.322, -0.007, 0.000], [0.010, 6.007, 0.000], [0.000, 0.000, 8.968]],
  "species": ["Li", "Li", "Li", "Li", "Li", "Li", "Li", "Li", "Mo", "Mo", "Mo", "Mo", "O", "O", "O", "O", "O", "O", "O", "O", "O", "O", "O", "O"],
  "frac_coords": [[0.250, 0.898, 0.746], [0.250, 0.398, 0.754], [0.250, 0.876, 0.417], [0.250, 0.376, 0.083], [0.750, 0.624, 0.917], [0.750, 0.124, 0.583], [0.750, 0.602, 0.246], [0.750, 0.102, 0.254], [0.250, 0.850, 0.086], [0.250, 0.350, 0.414], [0.750, 0.650, 0.586], [0.750, 0.150, 0.914], [0.250, 0.615, 0.572], [0.250, 0.115, 0.928], [0.250, 0.639, 0.925], [0.250, 0.139, 0.575], [0.250, 0.617, 0.249], [0.250, 0.117, 0.251], [0.750, 0.883, 0.749], [0.750, 0.383, 0.751], [0.750, 0.861, 0.425], [0.750, 0.361, 0.075], [0.750, 0.885, 0.072], [0.750, 0.385, 0.428]]
}